Here is Ac6IrRuPt2 after structural relaxation from the Alexandria database. Energies are from PBE.

**Total magnetic moment**: 0.0 μB/f.u.
**DFT total energy**: -6.159 eV/atom
**Energy of formation from the pure elements**: -0.672 eV per atom

```
data_Ac6IrRuPt2
_space_group_name_H-M_alt 'R 3'
_space_group_IT_number 146
_space_group_name_Hall 'R 3'
_cell_length_a 7.5447
_cell_length_b 7.5447
_cell_length_c 20.9356
_cell_angle_alpha 90.00
_cell_angle_beta 90.00
_cell_angle_gamma 120.00
loop_
_atom_site_label
_atom_site_type_symbol
_atom_site_fract_x
_atom_site_fract_y
_atom_site_fract_z
Ac1 Ac 0.0172 0.3379 0.0000
Ac2 Ac 0.0188 0.6778 0.5007
Ir1 Ir 0.0000 0.0000 0.4216
Ru1 Ru 0.0000 0.0000 0.9227
Pt1 Pt 0.0000 0.0000 0.2426
Pt2 Pt 0.0000 0.0000 0.7436
```

Here is Ac8IrRuPt2 after structural relaxation from the Alexandria database. Energies are from PBE.

**Total magnetic moment**: 0.0 μB/f.u.
**DFT total energy**: -5.854 eV/atom
**Energy of formation from the pure elements**: -0.596 eV per atom

```
data_Ac8IrRuPt2
_space_group_name_H-M_alt 'P 1 2/m 1'
_space_group_IT_number 10
_cell_length_a 7.0826
_cell_length_b 8.8899
_cell_length_c 7.2069
_cell_angle_alpha 90.00
_cell_angle_beta 90.43
_cell_angle_gamma 90.00
loop_
_space_group_symop_operation_xyz
'x,y,z'
'-x,-y,-z'
'-x,y,-z'
'x,-y,z'
loop_
_atom_site_label
_atom_site_type_symbol
_atom_site_fract_x
_atom_site_fract_y
_atom_site_fract_z
Ac1 Ac 0.2209 0.2472 0.3296
Ac2 Ac 0.2580 0.0000 0.8269
Ac3 Ac 0.2619 0.5000 0.8266
Ir1 Ir 0.0000 0.5000 0.5000
Ru1 Ru 0.0000 0.0000 0.5000
Pt1 Pt 0.5000 0.2497 0.0000
```